1.
The following is a PBE calculation of an optimized crystal structure of Tm3ZnIr8, from Alexandria.

The space group is R3m (No. 160, hexagonal axes) and the conventional cell measures 5.2961, 5.2961 and 25.9315 Å, with angles of 90.00, 90.00 and 120.00 degrees. The inequivalent atoms are Tm at (0.0000, 0.0000, 0.0000), Tm at (0.0000, 0.0000, 0.1285), Tm at (0.0000, 0.0000, 0.6179), Zn at (0.0000, 0.0000, 0.4926), Ir at (0.0000, 0.0000, 0.3125), Ir at (0.0000, 0.0000, 0.8128), Ir at (0.9998, 0.4999, 0.0626) and Ir at (0.0001, 0.5001, 0.5619).

Its formation energy is -0.59 eV/atom. The density of states at the Fermi level comes out at 12.940 states/eV/f.u. The value obtained for the size of the total moment is 0.00 μB/f.u.



2.
The following is a PBE calculation of an optimized crystal structure of CsLiB2H8, from Alexandria.

The space group is C2/m (No. 12) and the conventional cell measures 8.148, 4.689 and 7.990 Å, with angles of 90.00, 90.29 and 90.00 degrees. The inequivalent atoms are Cs at (0.000, 0.000, 0.000), Li at (0.000, 0.000, 0.500), B at (0.164, 0.500, 0.704), H at (0.090, 0.285, 0.657), H at (0.168, 0.500, 0.858) and H at (0.196, 0.000, 0.349).

The energy comes out at -3.92 eV/atom. The density of states at the Fermi level comes out at 0.000 states/eV/f.u. The value obtained for the size of the total moment is 0.00 μB/f.u.



3.
The following is a PBE calculation of an optimized crystal structure of Rb2ZnPdCl6, from Alexandria.

The space group is I4/mmm (No. 139) and the conventional cell measures 7.240, 7.240 and 10.644 Å, with angles of 90.00, 90.00 and 90.00 degrees. The inequivalent atoms are Rb at (0.000, 0.500, 0.250), Zn at (0.000, 0.000, 0.000), Pd at (0.000, 0.000, 0.500), Cl at (0.000, 0.000, 0.206) and Cl at (0.229, 0.229, 0.500).

The energy comes out at -3.19 eV/atom. The value obtained for the size of the total moment is 0.00 μB/f.u.



no.,density (g/cm3)
1,16.69
2,1.84
3,3.31